# 1
# ThFeAg

An optimized crystal structure of ThFeAg (GGA-PBE, Alexandria via LeMat-Bulk).

Properties
* space group: Cmcm (63)
* ΔE_f: -0.3 eV/f.u.

```
data_ThFeAg
_chemical_formula_sum 'Th2 Fe2 Ag2'
_space_group_name_H-M_alt 'P 1'
_space_group_IT_number 1
_space_group_name_Hall 'P 1'
_cell_length_a 3.7961
_cell_length_b 3.8528
_cell_length_c 8.7727
_cell_angle_alpha 77.31
_cell_angle_beta 90.00
_cell_angle_gamma 90.00
loop_
_atom_site_label
_atom_site_type_symbol
_atom_site_fract_x
_atom_site_fract_y
_atom_site_fract_z
_atom_site_occupancy
Ag1 Ag 0.7500 0.2901 0.4197 1
Th1 Th 0.2500 0.9008 0.1983 1
Fe1 Fe 0.2500 0.5369 0.9261 1
Th2 Th 0.7500 0.0992 0.8017 1
Ag2 Ag 0.2500 0.7099 0.5803 1
Fe2 Fe 0.7500 0.4631 0.0739 1
```

=====

# 2
# PmNdPtSe

An optimized crystal structure of PmNdPtSe (GGA-PBE, Alexandria via LeMat-Bulk).

Properties
* raw formation energy: -1441 meV/atom
* space group: R3m (160)

```
data_PmNdPtSe
_chemical_formula_sum 'Pm1 Nd1 Pt1 Se1'
_space_group_name_H-M_alt 'P 1'
_space_group_IT_number 1
_space_group_name_Hall 'P 1'
_cell_length_a 4.1394
_cell_length_b 4.1394
_cell_length_c 7.6642
_cell_angle_alpha 74.33
_cell_angle_beta 74.33
_cell_angle_gamma 60.00
loop_
_atom_site_label
_atom_site_type_symbol
_atom_site_fract_x
_atom_site_fract_y
_atom_site_fract_z
_atom_site_occupancy
Nd1 Nd 0.5060 0.5060 0.4821 1
Pm1 Pm 0.9940 0.9940 0.0180 1
Se1 Se 0.7494 0.7494 0.7519 1
Pt1 Pt 0.2507 0.2507 0.2480 1
```

=====

# 3
# Ac3AlZn2Pd9

An optimized crystal structure of Ac3AlZn2Pd9 (GGA-PBE, Alexandria via LeMat-Bulk).

Properties
* space group: P-3m1 (164)
* ΔE_f: -8.3 eV/f.u.

```
data_Ac3AlZn2Pd9
_chemical_formula_sum 'Ac3 Al1 Zn2 Pd9'
_space_group_name_H-M_alt 'P 1'
_space_group_IT_number 1
_space_group_name_Hall 'P 1'
_cell_length_a 7.3094
_cell_length_b 7.3094
_cell_length_c 7.0332
_cell_angle_alpha 90.00
_cell_angle_beta 90.00
_cell_angle_gamma 120.00
loop_
_atom_site_label
_atom_site_type_symbol
_atom_site_fract_x
_atom_site_fract_y
_atom_site_fract_z
_atom_site_occupancy
Zn1 Zn 0.6667 0.3333 0.8305 1
Pd1 Pd 0.6714 0.8357 0.3354 1
Al1 Al 0.0000 0.0000 0.5000 1
Pd2 Pd 0.1643 0.8357 0.3354 1
Zn2 Zn 0.3333 0.6667 0.1695 1
Pd3 Pd 0.5000 0.5000 0.0000 1
Pd4 Pd 0.3286 0.1643 0.6646 1
Pd5 Pd 0.1643 0.3286 0.3354 1
Ac1 Ac 0.3333 0.6667 0.6697 1
Pd6 Pd 0.5000 0.0000 0.0000 1
Ac2 Ac 0.6667 0.3333 0.3303 1
Pd7 Pd 0.8357 0.1643 0.6646 1
Pd8 Pd 0.8357 0.6714 0.6646 1
Ac3 Ac 0.0000 0.0000 0.0000 1
Pd9 Pd 0.0000 0.5000 0.0000 1
```

=====

# 4
# AlSbTe

An optimized crystal structure of AlSbTe (GGA-PBE, Alexandria via LeMat-Bulk).

Properties
* raw formation energy: 202 meV/atom
* space group: F-43m (216)

```
data_AlSbTe
_chemical_formula_sum 'Al1 Sb1 Te1'
_space_group_name_H-M_alt 'P 1'
_space_group_IT_number 1
_space_group_name_Hall 'P 1'
_cell_length_a 4.8998
_cell_length_b 4.8998
_cell_length_c 4.8998
_cell_angle_alpha 60.00
_cell_angle_beta 60.00
_cell_angle_gamma 60.00
loop_
_atom_site_label
_atom_site_type_symbol
_atom_site_fract_x
_atom_site_fract_y
_atom_site_fract_z
_atom_site_occupancy
Sb1 Sb 0.0000 0.0000 0.0000 1
Al1 Al 0.7500 0.7500 0.7500 1
Te1 Te 0.5000 0.5000 0.5000 1
```

=====

# 5
# NaLi2F

An optimized crystal structure of NaLi2F (GGA-PBE, Alexandria via LeMat-Bulk).

Properties
* raw formation energy: -660 meV/atom
* space group: Fm-3m (225)

```
data_NaLi2F
_chemical_formula_sum 'Na1 Li2 F1'
_space_group_name_H-M_alt 'P 1'
_space_group_IT_number 1
_space_group_name_Hall 'P 1'
_cell_length_a 4.7385
_cell_length_b 4.7385
_cell_length_c 4.7385
_cell_angle_alpha 60.00
_cell_angle_beta 60.00
_cell_angle_gamma 60.00
loop_
_atom_site_label
_atom_site_type_symbol
_atom_site_fract_x
_atom_site_fract_y
_atom_site_fract_z
_atom_site_occupancy
Li1 Li 0.2500 0.2500 0.2500 1
Na1 Na 0.5000 0.5000 0.5000 1
Li2 Li 0.7500 0.7500 0.7500 1
F1 F 0.0000 0.0000 0.0000 1
```

=====

# 6
# LaNd5Ho2Sc

An optimized crystal structure of LaNd5Ho2Sc (GGA-PBE, Alexandria via LeMat-Bulk).

Properties
* space group: Cmc2_1 (36)
* ΔE_f: 1.5 eV/f.u.

```
data_LaNd5Ho2Sc
_chemical_formula_sum 'La2 Nd10 Ho4 Sc2'
_space_group_name_H-M_alt 'P 1'
_space_group_IT_number 1
_space_group_name_Hall 'P 1'
_cell_length_a 5.6946
_cell_length_b 10.5006
_cell_length_c 10.5427
_cell_angle_alpha 90.00
_cell_angle_beta 90.00
_cell_angle_gamma 105.73
loop_
_atom_site_label
_atom_site_type_symbol
_atom_site_fract_x
_atom_site_fract_y
_atom_site_fract_z
_atom_site_occupancy
Nd1 Nd 0.0175 0.0349 0.0180 1
Sc1 Sc 0.8050 0.6099 0.5136 1
Ho1 Ho 0.1161 0.2322 0.7354 1
Nd2 Nd 0.5152 0.0304 0.2419 1
Sc2 Sc 0.1950 0.3901 0.0136 1
Ho2 Ho 0.8839 0.7678 0.2354 1
Ho3 Ho 0.1123 0.2247 0.3108 1
Nd3 Nd 0.6253 0.2506 0.5189 1
Nd4 Nd 0.7236 0.4472 0.8219 1
La1 La 0.4121 0.8241 0.4566 1
Ho4 Ho 0.8877 0.7753 0.8108 1
Nd5 Nd 0.9825 0.9651 0.5180 1
Nd6 Nd 0.2973 0.5947 0.7069 1
Nd7 Nd 0.2764 0.5528 0.3219 1
Nd8 Nd 0.7027 0.4053 0.2069 1
Nd9 Nd 0.4848 0.9696 0.7419 1
Nd10 Nd 0.3747 0.7494 0.0189 1
La2 La 0.5879 0.1759 0.9566 1
```

=====

# 7
# CeDyTlIr

An optimized crystal structure of CeDyTlIr (GGA-PBE, Alexandria via LeMat-Bulk).

Properties
* space group: F-43m (216)
* ΔE_f: -1.5 eV/f.u.

```
data_CeDyTlIr
_chemical_formula_sum 'Ce1 Dy1 Tl1 Ir1'
_space_group_name_H-M_alt 'P 1'
_space_group_IT_number 1
_space_group_name_Hall 'P 1'
_cell_length_a 5.1596
_cell_length_b 5.1596
_cell_length_c 5.1596
_cell_angle_alpha 60.00
_cell_angle_beta 60.00
_cell_angle_gamma 60.00
loop_
_atom_site_label
_atom_site_type_symbol
_atom_site_fract_x
_atom_site_fract_y
_atom_site_fract_z
_atom_site_occupancy
Ce1 Ce 0.7500 0.7500 0.7500 1
Tl1 Tl 0.0000 0.0000 0.0000 1
Dy1 Dy 0.2500 0.2500 0.2500 1
Ir1 Ir 0.5000 0.5000 0.5000 1
```

=====

# 8
# LaSi2Pd

An optimized crystal structure of LaSi2Pd (GGA-PBE, Alexandria via LeMat-Bulk).

Properties
* raw formation energy: -562 meV/atom
* space group: I-42d (122)

```
data_LaSi2Pd
_chemical_formula_sum 'La2 Si4 Pd2'
_space_group_name_H-M_alt 'P 1'
_space_group_IT_number 1
_space_group_name_Hall 'P 1'
_cell_length_a 4.7136
_cell_length_b 4.7136
_cell_length_c 8.8847
_cell_angle_alpha 74.62
_cell_angle_beta 74.62
_cell_angle_gamma 90.00
loop_
_atom_site_label
_atom_site_type_symbol
_atom_site_fract_x
_atom_site_fract_y
_atom_site_fract_z
_atom_site_occupancy
La1 La 0.0000 0.0000 0.0000 1
Si1 Si 0.3142 0.6250 0.2500 1
Si2 Si 0.4358 0.1250 0.2500 1
La2 La 0.7500 0.2500 0.5000 1
Pd1 Pd 0.2500 0.7500 0.5000 1
Si3 Si 0.3750 0.5642 0.7500 1
Si4 Si 0.8750 0.6858 0.7500 1
Pd2 Pd 0.5000 0.5000 0.0000 1
```

=====

# 9
# ZnTe2SeI

An optimized crystal structure of ZnTe2SeI (GGA-PBE, Alexandria via LeMat-Bulk).

Properties
* raw formation energy: 867 meV/atom
* space group: P4/mmm (123)

```
data_ZnTe2SeI
_chemical_formula_sum 'Zn1 Te2 Se1 I1'
_space_group_name_H-M_alt 'P 1'
_space_group_IT_number 1
_space_group_name_Hall 'P 1'
_cell_length_a 5.8809
_cell_length_b 5.3870
_cell_length_c 5.8809
_cell_angle_alpha 90.00
_cell_angle_beta 90.00
_cell_angle_gamma 90.00
loop_
_atom_site_label
_atom_site_type_symbol
_atom_site_fract_x
_atom_site_fract_y
_atom_site_fract_z
_atom_site_occupancy
Te1 Te 0.5000 0.0000 0.0000 1
Zn1 Zn 0.5000 0.5000 0.5000 1
Te2 Te 0.0000 0.0000 0.5000 1
Se1 Se 0.0000 0.5000 0.0000 1
I1 I 0.0000 0.0000 0.0000 1
```

=====

# 10
# Y2Be2As

An optimized crystal structure of Y2Be2As (GGA-PBE, Alexandria via LeMat-Bulk).

Properties
* space group: I4/mmm (139)
* ΔE_f: -0.3 eV/f.u.

```
data_Y2Be2As
_chemical_formula_sum 'Y2 Be2 As1'
_space_group_name_H-M_alt 'P 1'
_space_group_IT_number 1
_space_group_name_Hall 'P 1'
_cell_length_a 5.5833
_cell_length_b 5.5833
_cell_length_c 5.0222
_cell_angle_alpha 56.23
_cell_angle_beta 56.23
_cell_angle_gamma 90.00
loop_
_atom_site_label
_atom_site_type_symbol
_atom_site_fract_x
_atom_site_fract_y
_atom_site_fract_z
_atom_site_occupancy
Be1 Be 0.3485 0.3485 0.3030 1
Y1 Y 0.2500 0.7500 0.5000 1
Y2 Y 0.7500 0.2500 0.5000 1
Be2 Be 0.6515 0.6515 0.6970 1
As1 As 0.0000 0.0000 0.0000 1
```

=====

# 11
# CoRuSCl2

An optimized crystal structure of CoRuSCl2 (GGA-PBE, Alexandria via LeMat-Bulk).

Properties
* raw formation energy: 645 meV/atom
* space group: P4/mmm (123)

```
data_CoRuSCl2
_chemical_formula_sum 'Co1 Ru1 S1 Cl2'
_space_group_name_H-M_alt 'P 1'
_space_group_IT_number 1
_space_group_name_Hall 'P 1'
_cell_length_a 4.5709
_cell_length_b 4.5709
_cell_length_c 4.4803
_cell_angle_alpha 90.00
_cell_angle_beta 90.00
_cell_angle_gamma 90.00
loop_
_atom_site_label
_atom_site_type_symbol
_atom_site_fract_x
_atom_site_fract_y
_atom_site_fract_z
_atom_site_occupancy
Ru1 Ru 0.5000 0.5000 0.5000 1
Co1 Co 0.0000 0.0000 0.0000 1
Cl1 Cl 0.5000 0.0000 0.0000 1
S1 S 0.0000 0.0000 0.5000 1
Cl2 Cl 0.0000 0.5000 0.0000 1
```

=====

# 12
# KSr2Br

An optimized crystal structure of KSr2Br (GGA-PBE, Alexandria via LeMat-Bulk).

Properties
* raw formation energy: -241 meV/atom
* space group: F-43m (216)

```
data_KSr2Br
_chemical_formula_sum 'K1 Sr2 Br1'
_space_group_name_H-M_alt 'P 1'
_space_group_IT_number 1
_space_group_name_Hall 'P 1'
_cell_length_a 6.7119
_cell_length_b 6.7119
_cell_length_c 6.7119
_cell_angle_alpha 60.00
_cell_angle_beta 60.00
_cell_angle_gamma 60.00
loop_
_atom_site_label
_atom_site_type_symbol
_atom_site_fract_x
_atom_site_fract_y
_atom_site_fract_z
_atom_site_occupancy
K1 K 0.7500 0.7500 0.7500 1
Sr1 Sr 0.0000 0.0000 0.0000 1
Br1 Br 0.5000 0.5000 0.5000 1
Sr2 Sr 0.2500 0.2500 0.2500 1
```

=====

Number 1: V 125.2 Å³/cell, D(E_F) 2.4 states/eV/f.u., mass density 10.5 Mg/m³. Number 2: V 108.1 Å³/cell, D(E_F) 2.3 states/eV/f.u., mass density 8.7 Mg/m³. Number 3: V 325.4 Å³/cell, D(E_F) 6.2 states/eV/f.u., mass density 9.2 Mg/m³. Number 4: V 83.2 Å³/cell, D(E_F) 2.0 states/eV/f.u., mass density 5.5 Mg/m³. Number 5: V 75.2 Å³/cell, D(E_F) 0.3 states/eV/f.u., mass density 1.2 Mg/m³. Number 6: V 606.8 Å³/cell, D(E_F) 14.2 states/eV/f.u., mass density 6.8 Mg/m³. Number 7: V 97.1 Å³/cell, D(E_F) 7.4 states/eV/f.u., mass density 12.0 Mg/m³. Number 8: V 183.0 Å³/cell, D(E_F) 1.2 states/eV/f.u., mass density 5.5 Mg/m³. Number 9: V 186.3 Å³/cell, D(E_F) 6.3 states/eV/f.u., mass density 4.7 Mg/m³. Number 10: V 96.8 Å³/cell, D(E_F) 3.4 states/eV/f.u., mass density 4.6 Mg/m³. Number 11: V 93.6 Å³/cell, D(E_F) 4.9 states/eV/f.u., mass density 4.7 Mg/m³. Number 12: V 213.8 Å³/cell, D(E_F) 3.6 states/eV/f.u., mass density 2.3 Mg/m³.